1.
Density functional theory data (PBE-GGA) for an optimized crystal structure of Y2CuPbN.

a = 4.9116 Å, b = 4.9116 Å, c = 4.0978 Å
α = 90.00°, β = 90.00°, γ = 90.00°
With the nearest neighbours (Å) after each atom.
Fractional coordinates of all 5 atoms:
Pb: 0.5000 0.5000 0.5000  8 Y 3.20, 4 Cu 3.47
Y: 0.0000 0.5000 0.0000  2 N 2.46
Y: 0.5000 0.0000 0.0000  2 N 2.46
Cu: 0.0000 0.0000 0.5000  2 N 2.05
N: 0.0000 0.0000 0.0000  2 Cu 2.05

Properties
energy relative to the elements, uncorrected: -683 meV/atom

---

2.
Density functional theory data (PBE-GGA) for an optimized crystal structure of CaY2P.

a = 3.5369 Å, b = 3.5369 Å, c = 9.2898 Å
α = 90.00°, β = 90.00°, γ = 90.00°
With the nearest neighbours (Å) after each atom.
Fractional coordinates of all 4 atoms:
Ca: 0.5000 0.5000 0.2500  4 Ca 3.54, 8 Y 3.96
P: 0.5000 0.5000 0.7500  8 Y 2.95
Y: 0.0000 0.0000 0.9194  4 P 2.95, 1 Y 3.15
Y: 0.0000 0.0000 0.5806  4 P 2.95, 1 Y 3.15

Properties
E_form: -2.2 eV/f.u.

---

3.
Density functional theory data (PBE-GGA) for an optimized crystal structure of CaSb2Mo.

a = 5.9784 Å, b = 5.9784 Å, c = 5.9784 Å
α = 137.87°, β = 137.87°, γ = 61.10°
With the nearest neighbours (Å) after each atom.
Fractional coordinates of all 4 atoms:
Sb: 0.0000 0.0000 0.0000  4 Ca 3.04, 4 Sb 3.35, 4 Mo 3.35
Sb: 0.2500 0.7500 0.5000  4 Mo 3.04, 4 Sb 3.35, 4 Ca 3.35
Mo: 0.7500 0.2500 0.5000  8 Sb 3.04-3.35, 4 Ca 3.35
Ca: 0.5000 0.5000 0.0000  8 Sb 3.04-3.35, 4 Mo 3.35

Properties
energy above the most stable polymorph in this dataset: 1.45 eV/f.u.
energy relative to the elements, uncorrected: 121 meV/atom

---

4.
Density functional theory data (PBE-GGA) for an optimized crystal structure of Ba6Pt2NCl2.

a = 7.7346 Å, b = 7.7346 Å, c = 8.1154 Å
α = 100.02°, β = 100.02°, γ = 119.23°
With the nearest neighbours (Å) after each atom.
Fractional coordinates of all 11 atoms:
Ba: 0.7733 0.7733 0.7027  1 N 2.80
Ba: 0.0767 0.3804 0.7177  1 N 2.87, 2 Pt 3.12-3.21
Ba: 0.2267 0.2267 0.2973  1 N 2.80
Ba: 0.3804 0.0767 0.7177  1 N 2.87, 2 Pt 3.12-3.21
Ba: 0.9233 0.6196 0.2823  1 N 2.87, 2 Pt 3.12-3.21
Ba: 0.6196 0.9233 0.2823  1 N 2.87, 2 Pt 3.12-3.21
Pt: 0.3294 0.6706 0.5000  6 Ba 3.12-3.21
Pt: 0.6706 0.3294 0.5000  6 Ba 3.12-3.21
N: 0.0000 0.0000 0.5000  6 Ba 2.80-2.87
Cl: 0.8330 0.1670 0.0000  6 Ba 3.32-3.50
Cl: 0.1670 0.8330 0.0000  6 Ba 3.32-3.50

Properties
energy relative to the elements, uncorrected: -1085 meV/atom

---

5.
Density functional theory data (PBE-GGA) for an optimized crystal structure of PmDyTm2Bi4.

a = 6.3353 Å, b = 6.3353 Å, c = 7.7637 Å
α = 114.08°, β = 114.08°, γ = 90.00°
With the nearest neighbours (Å) after each atom.
Fractional coordinates of all 8 atoms:
Pm: 0.4374 0.4374 0.0000  6 Bi 3.17-3.20
Dy: 0.9371 0.9371 0.0000  6 Bi 3.14-3.17
Tm: 0.1871 0.6871 0.5000  6 Bi 3.17
Tm: 0.6871 0.1871 0.5000  6 Bi 3.17
Bi: 0.9374 0.4371 0.0000  2 Dy 3.17, 2 Pm 3.17, 2 Tm 3.17
Bi: 0.4371 0.9374 0.0000  2 Dy 3.17, 2 Pm 3.17, 2 Tm 3.17
Bi: 0.1845 0.1845 0.4948  1 Dy 3.14, 4 Tm 3.17, 1 Pm 3.20
Bi: 0.6897 0.6897 0.5052  1 Dy 3.14, 4 Tm 3.17, 1 Pm 3.20

Properties
E_form: -6.7 eV/f.u.

---

6.
Density functional theory data (PBE-GGA) for an optimized crystal structure of TaIrPt2.

a = 4.4977 Å, b = 4.4977 Å, c = 4.4977 Å
α = 60.00°, β = 60.00°, γ = 60.00°
With the nearest neighbours (Å) after each atom.
Fractional coordinates of all 4 atoms:
Ir: 0.5000 0.5000 0.5000  8 Pt 2.75
Pt: 0.2500 0.2500 0.2500  4 Ir 2.75, 4 Ta 2.75
Pt: 0.7500 0.7500 0.7500  4 Ir 2.75, 4 Ta 2.75
Ta: 0.0000 0.0000 0.0000  8 Pt 2.75

Properties
E_form: -1.0 eV/f.u.
energy above the most stable polymorph in this dataset: 1.57 eV/f.u.

---

7.
Density functional theory data (PBE-GGA) for an optimized crystal structure of KHo2Au2O6.

a = 6.7722 Å, b = 8.7466 Å, c = 7.4555 Å
α = 131.47°, β = 102.62°, γ = 50.29°
With the nearest neighbours (Å) after each atom.
Fractional coordinates of all 11 atoms:
K: 0.5000 0.0000 0.5000  6 O 2.74-3.01
Ho: 0.8178 0.3179 0.8178  6 O 2.18-2.32
Ho: 0.1822 0.6821 0.1822  6 O 2.18-2.32
Au: 0.2166 0.7108 0.7120  2 O 2.01
Au: 0.7834 0.2892 0.2880  2 O 2.01
O: 0.8743 0.6277 0.0303  1 O 1.49
O: 0.3963 0.5136 0.8281  1 Au 2.01, 2 Ho 2.18-2.24
O: 0.9831 0.1094 0.4208  1 Au 2.01, 2 Ho 2.18-2.24
O: 0.6037 0.4864 0.1719  1 Au 2.01, 2 Ho 2.18-2.24
O: 0.0169 0.8906 0.5792  1 Au 2.01, 2 Ho 2.18-2.24
O: 0.1257 0.3723 0.9697  1 O 1.49

Properties
energy relative to the elements, uncorrected: -1772 meV/atom

---

8.
Density functional theory data (PBE-GGA) for an optimized crystal structure of TeMoRu.

a = 5.8430 Å, b = 5.8431 Å, c = 3.0964 Å
α = 74.63°, β = 74.64°, γ = 30.73°
With the nearest neighbours (Å) after each atom.
Fractional coordinates of all 3 atoms:
Mo: 0.0099 0.0099 0.9901  4 Ru 2.70, 4 Te 2.90
Ru: 0.6554 0.6554 0.3446  4 Mo 2.70, 4 Te 2.93
Te: 0.3347 0.3347 0.6653  4 Mo 2.90, 4 Ru 2.93, 4 Te 3.10

Properties
energy above the most stable polymorph in this dataset: 0.00 eV/f.u.
energy relative to the elements, uncorrected: 296 meV/atom

---

9.
Density functional theory data (PBE-GGA) for an optimized crystal structure of SrCeHo4Se8.

a = 8.5063 Å, b = 8.5063 Å, c = 8.6147 Å
α = 60.42°, β = 60.42°, γ = 60.00°
With the nearest neighbours (Å) after each atom.
Fractional coordinates of all 14 atoms:
Sr: 0.3735 0.3735 0.8795  4 Se 2.90-2.92
Ce: 0.0009 0.0009 0.9973  6 Se 2.94-3.04
Ho: 0.6257 0.6257 0.1230  4 Se 2.74-2.80
Ho: 0.0015 0.4956 0.5013  6 Se 2.82-2.95
Ho: 0.4956 0.0015 0.5013  6 Se 2.82-2.95
Ho: 0.0015 0.0015 0.5013  6 Se 2.82-2.95
Se: 0.2427 0.7898 0.7248  2 Ho 2.82, 1 Sr 2.90, 1 Ce 2.94
Se: 0.7898 0.2427 0.7248  2 Ho 2.82, 1 Sr 2.90, 1 Ce 2.94
Se: 0.2427 0.2427 0.7248  2 Ho 2.82, 1 Sr 2.90, 1 Ce 2.94
Se: 0.2360 0.2360 0.2921  3 Ho 2.84, 1 Sr 2.92
Se: 0.7504 0.2318 0.2675  3 Ho 2.74-2.94, 1 Ce 3.04
Se: 0.2318 0.7504 0.2675  3 Ho 2.74-2.94, 1 Ce 3.04
Se: 0.7504 0.7504 0.2675  3 Ho 2.74-2.94, 1 Ce 3.04
Se: 0.7576 0.7576 0.7273  4 Ho 2.80-2.95

Properties
energy relative to the elements, uncorrected: -1770 meV/atom

---

10.
Density functional theory data (PBE-GGA) for an optimized crystal structure of PrYHo2.

a = 3.6643 Å, b = 6.7841 Å, c = 6.7841 Å
α = 55.30°, β = 74.35°, γ = 74.35°
With the nearest neighbours (Å) after each atom.
Fractional coordinates of all 4 atoms:
Pr: 0.2500 0.1690 0.3310  6 Ho 3.55-3.57, 4 Y 3.63-3.66, 2 Pr 3.66
Y: 0.7500 0.6662 0.8338  6 Ho 3.54-3.57, 4 Pr 3.63-3.66, 2 Y 3.66
Ho: 0.0011 0.0808 0.9161  3 Y 3.54-3.57, 3 Pr 3.55-3.57, 6 Ho 3.64-3.66
Ho: 0.4989 0.5839 0.4192  3 Y 3.54-3.57, 3 Pr 3.55-3.57, 6 Ho 3.64-3.66

Properties
E_form: 0.1 eV/f.u.
energy above the most stable polymorph in this dataset: 0.04 eV/f.u.

---

Number 1: DFT total energy -6.4942 eV per atom, calculated density 7.770 g cm⁻³, calculated volume 98.9 Å³ per cell. Number 2: DFT total energy -5.6231 eV per atom, calculated density 3.556 g cm⁻³, calculated volume 116.2 Å³ per cell. Number 3: DFT total energy -5.1480 eV per atom, calculated density 6.629 g cm⁻³, calculated volume 95.1 Å³ per cell. Number 4: DFT total energy -4.3250 eV per atom, calculated density 5.422 g cm⁻³, calculated volume 397.8 Å³ per cell. Number 5: DFT total energy -5.0620 eV per atom, calculated density 9.665 g cm⁻³, calculated volume 254.5 Å³ per cell. Number 6: DFT total energy -8.4380 eV per atom, calculated density 19.701 g cm⁻³, calculated volume 64.3 Å³ per cell. Number 7: DFT total energy -6.0042 eV per atom, calculated density 5.992 g cm⁻³, calculated volume 238.0 Å³ per cell. Number 8: DFT total energy -7.4533 eV per atom, calculated density 10.378 g cm⁻³, calculated volume 51.9 Å³ per cell. Number 9: DFT total energy -5.6128 eV per atom, calculated density 5.688 g cm⁻³, calculated volume 443.5 Å³ per cell. Number 10: DFT total energy -5.0808 eV per atom, calculated density 7.037 g cm⁻³, calculated volume 132.1 Å³ per cell.